Zr3SO: relaxed, PBE.

The structure in extended XYZ format:
```
5
Lattice="4.407 0.000 0.000 0.000 4.407 0.000 0.000 0.000 4.407" Properties=species:S:1:pos:R:3 pbc="T T T"
S 2.204 2.204 2.204
O 0.000 0.000 0.000
Zr 0.000 2.204 0.000
Zr 0.000 0.000 2.204
Zr 2.204 0.000 0.000
```

Calculated values
space-group type	Pm-3m, No. 221
distance to the lowest polymorph of the same formula	0.000	eV per atom
size of the total moment	0.0	μB/f.u.
E_form (uncorrected)	-0.93	eV per atom
DOS at the Fermi energy	8.3	states/eV/cell
calculated density	6241	kg/m³